The following is a SCAN calculation of CaTlAg2 at its PBEsol-relaxed geometry, from Alexandria via LeMat-Bulk.

Values from the calculation:
Space group: Imm2 (44)
E_tot in eV per cell: -145.58

Cell and atoms, written as POSCAR:
```
CaTlAg2
1.0
4.497 0.000 0.000
0.000 4.596 0.000
-2.249 -2.298 4.111
Tl Ca Ag
1 1 2
Cartesian
0.000 2.298 2.073
0.000 0.000 4.106
0.000 0.000 0.012
2.249 0.000 2.032
```